# 1
NbIn3Ni, optimized geometry, DFT GGA-PBE; density = 7.291 Mg/m³; ΔH_f (0 K) = 2.867 eV/f.u.
1.0
4.834 0.000 0.000
0.000 4.834 0.000
0.000 0.000 4.834
Nb In Ni
1 3 1
direct
0.000 0.000 0.000
0.000 0.500 0.500
0.500 0.000 0.500
0.500 0.500 0.000
0.500 0.500 0.500



# 2
NbIn2Ni, optimized geometry, DFT GGA-PBE; density = 8.652 Mg/m³; ΔH_f (0 K) = 1.046 eV/f.u.
1.0
0.000 3.320 3.320
3.320 0.000 3.320
3.320 3.320 0.000
Nb In Ni
1 2 1
direct
0.000 0.000 0.000
0.250 0.250 0.250
0.750 0.750 0.750
0.500 0.500 0.500



# 3
Nb3InNi, optimized geometry, DFT GGA-PBE; density = 5.999 Mg/m³; ΔH_f (0 K) = 10.968 eV/f.u.
1.0
5.002 0.000 0.000
0.000 5.002 0.000
0.000 0.000 5.002
Nb In Ni
3 1 1
direct
0.000 0.000 0.500
0.000 0.500 0.000
0.500 0.000 0.000
0.000 0.000 0.000
0.500 0.500 0.500



# 4
NbInNi6, optimized geometry, DFT GGA-PBE; density = 9.115 Mg/m³; ΔH_f (0 K) = -1.596 eV/f.u.
1.0
3.702 -5.246 0.000
3.702 5.246 0.000
0.000 0.000 10.504
Nb In Ni
4 4 24
direct
0.000 0.000 0.248
0.000 0.000 0.752
0.247 0.753 0.500
0.753 0.247 0.500
0.251 0.749 0.000
0.500 0.500 0.250
0.500 0.500 0.750
0.749 0.251 0.000
0.000 0.000 0.000
0.000 0.000 0.500
0.120 0.373 0.378
0.120 0.373 0.622
0.122 0.367 0.128
0.122 0.367 0.872
0.247 0.753 0.256
0.247 0.753 0.744
0.367 0.122 0.128
0.367 0.122 0.872
0.373 0.120 0.378
0.373 0.120 0.622
0.500 0.500 0.000
0.500 0.500 0.500
0.627 0.880 0.378
0.627 0.880 0.622
0.633 0.878 0.128
0.633 0.878 0.872
0.753 0.247 0.256
0.753 0.247 0.744
0.878 0.633 0.128
0.878 0.633 0.872
0.880 0.627 0.378
0.880 0.627 0.622



# 5
NbInNi, optimized geometry, DFT GGA-PBE; density = 8.845 Mg/m³; ΔH_f (0 K) = -0.245 eV/f.u.
1.0
-1.500 1.500 5.561
1.500 -1.500 5.561
1.500 1.500 -5.561
Nb In Ni
1 1 1
direct
0.000 0.000 0.000
0.699 0.699 0.000
0.356 0.356 0.000



# 6
NbIn2Ni2, optimized geometry, DFT GGA-PBE; density = 8.936 Mg/m³; ΔH_f (0 K) = 0.113 eV/f.u.
1.0
7.303 0.000 0.000
0.000 7.303 0.000
0.000 0.000 3.066
Nb In Ni
2 4 4
direct
0.000 0.000 0.000
0.500 0.500 0.000
0.170 0.330 0.500
0.330 0.830 0.500
0.670 0.170 0.500
0.830 0.670 0.500
0.126 0.626 0.000
0.374 0.126 0.000
0.626 0.874 0.000
0.874 0.374 0.000